[1]
The following is a PBE with a Hubbard U calculation of a relaxed CaYV2O8 crystal, from Alexandria.

Calculated values
SG: I-4m2
M_tot, μB per formula unit: 1.08
Electronic total energy, eV/atom: -7.64

Lattice parameters (Å, degrees): 6.076 6.076 6.076 106.22 106.22 116.19
Positions (direct):
Ca 0.000 0.000 0.000
Y 0.750 0.250 0.500
V 0.250 0.750 0.500
V 0.500 0.500 0.000
O 0.075 0.393 0.318
O 0.075 0.757 0.682
O 0.146 0.335 0.811
O 0.243 0.925 0.318
O 0.525 0.335 0.189
O 0.607 0.925 0.682
O 0.665 0.475 0.811
O 0.665 0.854 0.189

***

[2]
The following is a PBE with a Hubbard U calculation of a relaxed SrV3O crystal, from Alexandria.

Calculated values
Excess energy over the best structure of this formula in the dataset, eV per atom: 0.0000
SG: Pm-3m
M_tot, μB per formula unit: 9.52
Electronic total energy, eV/atom: -5.36

Lattice parameters (Å, degrees): 4.626 4.626 4.626 90.00 90.00 90.00
Positions (direct):
Sr 0.000 0.000 0.000
V 0.000 0.500 0.500
V 0.500 0.000 0.500
V 0.500 0.500 0.000
O 0.500 0.500 0.500

***

[3]
The following is a PBE with a Hubbard U calculation of a relaxed MnCrF6 crystal, from Alexandria.

Calculated values
SG: C2/c
M_tot, μB per formula unit: 7.00
Electronic total energy, eV/atom: -5.67

Lattice parameters (Å, degrees): 5.580 5.580 7.843 102.83 102.83 61.44
Positions (direct):
Mn 0.043 0.957 0.750
Mn 0.957 0.043 0.250
Cr 0.000 0.500 0.000
Cr 0.500 0.000 0.500
F 0.094 0.234 0.447
F 0.137 0.603 0.238
F 0.179 0.642 0.887
F 0.234 0.094 0.947
F 0.358 0.821 0.613
F 0.397 0.863 0.262
F 0.603 0.137 0.738
F 0.642 0.179 0.387
F 0.766 0.906 0.053
F 0.821 0.358 0.113
F 0.863 0.397 0.762
F 0.906 0.766 0.553